VASP calculation (PBE) on a relaxed structure of Sb5Au.

Output
E_tot (eV/atom): -3.859
Energy above the most stable polymorph in this dataset (meV per atom): 108
Energy relative to the elements, uncorrected (kcal/mol of atoms): 2.8
Fermi-level density of states (states/eV/cell): 2.53

```
Sb5Au
1.0
3.539 -6.129 0.000
3.539 6.129 0.000
0.000 0.000 3.886
Au Sb
1 5
Cartesian
0.000 0.000 1.943 Au
2.157 0.000 0.000 Sb
2.460 4.261 0.000 Sb
3.539 -2.043 1.943 Sb
3.539 2.043 1.943 Sb
2.460 -4.261 0.000 Sb
```